(1)
Crystalline TbEr4Th at its relaxed geometry, computed with GGA-PBE.

The structure in extended XYZ format:
```
6
Lattice="6.502 0.000 0.000 3.251 5.631 0.000 3.251 1.877 5.309" Properties=species:S:1:pos:R:3 pbc="T T T"
Tb 0.000 0.000 0.000
Th 3.251 1.877 1.327
Er 6.502 3.754 0.670
Er 6.502 1.883 3.316
Er 8.123 4.690 3.316
Er 4.882 4.690 3.316
```

Summary:
Uncorrected energy: -4.72 eV per atom
Crystal system: cubic
E_form: 1.964 eV per formula unit
Spin magnetization: 2.6 μB per formula unit

(2)
Crystalline Tb8Er3Th3 at its relaxed geometry, computed with GGA-PBE.

The structure in extended XYZ format:
```
14
Lattice="-2.625 0.684 -4.976 -7.949 -5.374 0.227 -3.554 8.914 -0.126" Properties=species:S:1:pos:R:3 pbc="T T T"
Tb -4.677 4.843 -3.322
Tb -9.451 -0.618 -1.553
Tb -6.635 -1.524 -3.164
Tb -7.493 5.749 -1.711
Tb -10.260 1.450 -4.070
Tb -3.868 2.775 -0.805
Tb -9.358 4.381 -4.143
Tb -4.770 -0.156 -0.732
Er -7.064 2.113 -2.437
Er -4.329 1.233 -4.001
Er -9.799 2.993 -0.874
Th -1.313 0.342 -2.488
Th -7.136 -2.732 0.162
Th -4.366 6.273 -0.061
```

Summary:
Uncorrected energy: -5.06 eV per atom
Crystal system: orthorhombic
E_form: 2.191 eV per formula unit
Spin magnetization: 0.0 μB per formula unit

(3)
Crystalline TbEr3Th at its relaxed geometry, computed with GGA-PBE.

The structure in extended XYZ format:
```
20
Lattice="9.531 -2.285 -2.205 0.469 8.248 -2.202 0.469 -1.906 8.322" Properties=species:S:1:pos:R:3 pbc="T T T"
Tb 7.617 0.456 2.444
Tb 2.851 -2.380 7.670
Tb 7.617 6.438 -3.755
Tb 2.851 3.601 1.471
Er 4.026 0.692 2.714
Er 5.639 -1.733 4.667
Er 8.792 1.595 -0.507
Er 1.677 2.463 4.423
Er 8.511 5.337 -0.420
Er 0.874 5.745 -0.796
Er 6.442 3.365 1.201
Er 9.595 -1.687 4.711
Er 4.829 5.790 -0.752
Er 3.745 0.913 6.451
Er 1.958 -1.280 4.335
Er 6.723 3.144 -2.536
Th 5.385 0.660 -0.289
Th 0.619 0.877 1.772
Th 9.849 3.180 2.143
Th 5.084 3.398 4.204
```

Summary:
Uncorrected energy: -5.00 eV per atom
Crystal system: monoclinic
E_form: 0.731 eV per formula unit
Spin magnetization: 0.0 μB per formula unit

(4)
Crystalline Tb10ErTh4 at its relaxed geometry, computed with GGA-PBE.

The structure in extended XYZ format:
```
15
Lattice="-9.070 -3.005 -4.854 -6.260 -5.210 3.092 -7.762 3.949 0.226" Properties=species:S:1:pos:R:3 pbc="T T T"
Tb -9.278 -1.381 0.446
Tb -13.990 0.228 -1.420
Tb -4.319 0.403 -0.253
Tb -15.892 -3.714 0.259
Tb -11.982 -5.448 -1.658
Tb -9.101 -4.494 -0.116
Tb -13.813 -2.884 -1.981
Tb -11.110 1.182 0.122
Tb -7.199 -0.552 -1.795
Tb -18.773 -4.668 -1.282
Er 0.000 0.000 0.000
Th -12.254 -2.435 0.742
Th -16.641 -2.037 -3.138
Th -6.451 -2.229 1.602
Th -10.838 -1.831 -2.278
```

Summary:
Uncorrected energy: -4.98 eV per atom
Crystal system: tetragonal
E_form: 5.893 eV per formula unit
Spin magnetization: 0.0 μB per formula unit

(5)
Crystalline TbEr14Th at its relaxed geometry, computed with GGA-PBE.

The structure in extended XYZ format:
```
16
Lattice="7.015 -0.845 0.000 -2.768 6.500 0.000 0.000 0.000 11.381" Properties=species:S:1:pos:R:3 pbc="T T T"
Tb -0.729 4.969 5.690
Er -2.362 6.195 0.000
Er 2.528 2.524 0.000
Er 0.654 1.719 5.690
Er -0.971 2.945 0.000
Er 2.778 4.547 5.690
Er 1.147 5.766 0.000
Er 2.301 0.503 8.555
Er 2.301 0.503 2.826
Er 4.405 3.305 8.555
Er 4.405 3.305 2.826
Er 0.904 3.743 8.556
Er 0.904 3.743 2.825
Er 5.776 0.085 8.544
Er 5.776 0.085 2.837
Th 4.154 1.302 5.690
```

Summary:
Uncorrected energy: -4.73 eV per atom
Crystal system: orthorhombic
E_form: 0.205 eV per formula unit
Spin magnetization: 0.0 μB per formula unit

(6)
Crystalline TbErTh at its relaxed geometry, computed with GGA-PBE.

The structure in extended XYZ format:
```
6
Lattice="3.477 0.000 0.000 -1.738 3.011 0.000 0.000 0.000 18.434" Properties=species:S:1:pos:R:3 pbc="T T T"
Th 0.000 2.007 2.932
Th 1.738 1.004 12.149
Tb 1.738 1.004 15.539
Tb 0.000 2.007 6.321
Er 0.000 0.000 18.398
Er 0.000 0.000 9.181
```

Summary:
Uncorrected energy: -5.40 eV per atom
Crystal system: hexagonal
E_form: 0.422 eV per formula unit
Spin magnetization: 0.0 μB per formula unit

(7)
Crystalline Tb4Er7Th at its relaxed geometry, computed with GGA-PBE.

The structure in extended XYZ format:
```
12
Lattice="6.161 -0.124 3.427 2.388 6.802 3.255 3.944 -0.222 11.001" Properties=species:S:1:pos:R:3 pbc="T T T"
Tb 6.008 4.421 7.558
Tb 6.486 2.036 10.126
Tb 9.211 5.433 12.633
Tb 3.283 1.023 5.050
Er 9.761 3.056 15.190
Er 2.733 3.400 2.493
Er 3.433 2.107 8.436
Er 9.061 4.349 9.247
Er 6.166 5.502 10.941
Er 3.081 -0.062 1.714
Er 6.328 0.955 6.742
Th 0.000 0.000 0.000
```

Summary:
Uncorrected energy: -4.80 eV per atom
Crystal system: triclinic
E_form: 0.232 eV per formula unit
Spin magnetization: 0.0 μB per formula unit

(8)
Crystalline TbEr12Th7 at its relaxed geometry, computed with GGA-PBE.

The structure in extended XYZ format:
```
20
Lattice="8.371 1.249 1.874 -1.128 8.388 1.874 -1.128 -1.501 8.463" Properties=species:S:1:pos:R:3 pbc="T T T"
Tb 0.000 0.000 0.000
Er 6.077 2.146 8.217
Er 5.743 3.031 3.109
Er 4.495 1.150 5.620
Er 6.260 4.736 5.768
Er 1.315 0.420 7.067
Er 2.809 2.499 8.986
Er 3.306 5.637 3.226
Er 4.800 7.716 5.145
Er -0.145 3.400 6.444
Er 1.620 6.986 6.592
Er 0.372 5.105 9.103
Er 0.038 5.990 3.995
Th 5.357 4.761 10.507
Th 3.031 0.931 2.195
Th 0.051 0.804 3.771
Th 3.057 4.068 6.106
Th 6.063 7.332 8.441
Th 3.084 7.205 10.017
Th 0.758 3.375 1.705
```

Summary:
Uncorrected energy: -5.29 eV per atom
Crystal system: trigonal
E_form: 5.436 eV per formula unit
Spin magnetization: 0.0 μB per formula unit

(9)
Crystalline Tb3Er3Th at its relaxed geometry, computed with GGA-PBE.

The structure in extended XYZ format:
```
14
Lattice="-5.487 -1.316 -0.477 1.494 -2.994 -8.924 0.830 -6.100 7.275" Properties=species:S:1:pos:R:3 pbc="T T T"
Tb -2.310 -8.207 -1.211
Tb -3.832 -2.630 0.921
Tb -3.049 -7.318 4.841
Tb -0.853 -2.203 -0.915
Tb 0.670 -7.780 -3.048
Tb -0.113 -3.092 -6.967
Er -0.083 -5.642 -0.285
Er -0.832 -3.540 2.521
Er -0.046 -7.001 3.033
Er -3.079 -4.768 -1.841
Er -2.331 -6.870 -4.647
Er -3.116 -3.409 -5.159
Th -3.064 -6.052 1.518
Th -0.099 -4.358 -3.644
```

Summary:
Uncorrected energy: -4.98 eV per atom
Crystal system: hexagonal
E_form: 0.144 eV per formula unit
Spin magnetization: 0.0 μB per formula unit

(10)
Crystalline TbEr5Th2 at its relaxed geometry, computed with GGA-PBE.

The structure in extended XYZ format:
```
8
Lattice="-3.270 -0.996 -0.757 1.145 -8.492 -1.866 -2.460 -3.791 7.516" Properties=species:S:1:pos:R:3 pbc="T T T"
Tb 0.000 0.000 0.000
Er -0.658 -6.142 2.825
Er -1.712 -6.257 -0.566
Er -2.874 -7.023 5.459
Er -1.201 -9.204 1.107
Er -3.384 -4.076 3.786
Th -3.421 -10.063 3.728
Th -1.164 -3.216 1.164
```

Summary:
Uncorrected energy: -5.19 eV per atom
Crystal system: orthorhombic
E_form: 0.783 eV per formula unit
Spin magnetization: 0.0 μB per formula unit

(11)
Crystalline Tb4Er5Th2 at its relaxed geometry, computed with GGA-PBE.

The structure in extended XYZ format:
```
11
Lattice="-2.405 -2.525 0.535 4.603 -2.467 9.852 -5.340 5.898 3.829" Properties=species:S:1:pos:R:3 pbc="T T T"
Tb -3.558 3.184 4.935
Tb -1.986 3.029 10.892
Tb 0.416 -2.278 9.281
Tb -1.156 -2.122 3.324
Er -3.961 1.779 8.248
Er 0.819 -0.872 5.969
Er -1.053 -0.405 11.850
Er -1.202 -1.262 0.268
Er -2.089 1.311 2.366
Th -2.565 -0.110 5.721
Th -0.577 1.017 8.495
```

Summary:
Uncorrected energy: -5.05 eV per atom
Crystal system: triclinic
E_form: 0.593 eV per formula unit
Spin magnetization: 0.0 μB per formula unit

(12)
Crystalline Tb4Er5Th at its relaxed geometry, computed with GGA-PBE.

The structure in extended XYZ format:
```
10
Lattice="-2.297 -1.770 2.025 -1.603 -7.195 -8.108 7.514 -3.872 2.050" Properties=species:S:1:pos:R:3 pbc="T T T"
Tb 0.395 -4.104 -0.052
Tb -0.863 -5.640 -5.909
Tb 3.220 -8.733 -3.982
Tb 4.477 -7.197 1.876
Er 0.666 -8.465 -6.645
Er 1.329 -5.587 -3.377
Er 2.286 -7.250 -0.656
Er -1.950 -4.482 -3.041
Er 2.949 -4.372 2.612
Th -1.148 -0.885 1.012
```

Summary:
Uncorrected energy: -4.69 eV per atom
Crystal system: monoclinic
E_form: 1.844 eV per formula unit
Spin magnetization: 0.0 μB per formula unit

(13)
Crystalline Tb9Er2Th at its relaxed geometry, computed with GGA-PBE.

The structure in extended XYZ format:
```
12
Lattice="5.027 0.000 0.000 0.000 5.027 0.000 0.000 0.000 15.071" Properties=species:S:1:pos:R:3 pbc="T T T"
Tb 2.514 2.514 0.000
Tb 2.514 2.514 5.055
Tb 2.514 2.514 10.015
Tb 2.514 0.000 2.496
Tb 2.514 0.000 7.535
Tb 2.514 0.000 12.574
Tb 0.000 2.514 2.496
Tb 0.000 2.514 7.535
Tb 0.000 2.514 12.574
Er 0.000 0.000 5.028
Er 0.000 0.000 10.043
Th 0.000 0.000 0.000
```

Summary:
Uncorrected energy: -4.82 eV per atom
Crystal system: tetragonal
E_form: 0.333 eV per formula unit
Spin magnetization: 0.0 μB per formula unit

(14)
Crystalline TbEr12Th5 at its relaxed geometry, computed with GGA-PBE.

The structure in extended XYZ format:
```
18
Lattice="10.558 -0.008 -0.089 5.282 9.177 -0.557 0.049 -1.716 5.882" Properties=species:S:1:pos:R:3 pbc="T T T"
Tb 5.331 7.461 5.325
Er 14.111 8.312 2.309
Er 1.778 -0.859 2.926
Er 12.290 9.172 -0.616
Er 8.881 7.458 5.294
Er 7.030 6.098 -0.389
Er 3.530 6.100 -0.359
Er 12.359 1.353 5.594
Er 8.859 1.355 5.624
Er 7.057 2.194 2.715
Er 12.335 5.257 2.491
Er 3.554 2.197 2.744
Er 8.832 5.260 2.521
Th 10.585 8.315 2.339
Th 5.304 5.257 2.527
Th 10.585 2.196 2.708
Th 10.608 4.400 5.441
Th 5.281 3.054 -0.206
```

Summary:
Uncorrected energy: -5.32 eV per atom
Crystal system: monoclinic
E_form: 0.714 eV per formula unit
Spin magnetization: 0.0 μB per formula unit

(15)
Crystalline Tb2Er2Th at its relaxed geometry, computed with GGA-PBE.

The structure in extended XYZ format:
```
10
Lattice="-2.055 -8.968 4.010 5.272 -1.763 -1.240 5.540 5.519 2.623" Properties=species:S:1:pos:R:3 pbc="T T T"
Tb 7.593 -1.881 2.249
Tb 3.381 -6.043 3.342
Tb 1.164 -3.331 3.144
Tb 5.377 0.831 2.050
Er 4.672 -2.750 4.146
Er 8.601 2.011 1.003
Er 4.085 -2.462 1.246
Er 0.156 -7.223 4.389
Th 2.109 -9.372 2.669
Th 1.108 -1.359 0.100
```

Summary:
Uncorrected energy: -4.96 eV per atom
Crystal system: orthorhombic
E_form: 1.025 eV per formula unit
Spin magnetization: 0.0 μB per formula unit

(16)
Crystalline TbErTh6 at its relaxed geometry, computed with GGA-PBE.

The structure in extended XYZ format:
```
8
Lattice="4.476 -2.669 6.502 7.047 -4.248 1.315 4.579 3.709 1.140" Properties=species:S:1:pos:R:3 pbc="T T T"
Tb 8.051 -1.604 4.478
Er 0.000 0.000 0.000
Th 9.786 -4.264 6.148
Th 11.228 -1.111 5.903
Th 3.180 0.495 1.425
Th 4.874 -2.098 3.054
Th 6.315 1.055 2.808
Th 12.921 -3.704 7.531
```

Summary:
Uncorrected energy: -6.59 eV per atom
Crystal system: tetragonal
E_form: 1.001 eV per formula unit
Spin magnetization: 0.0 μB per formula unit

(17)
Crystalline Tb7ErTh4 at its relaxed geometry, computed with GGA-PBE.

The structure in extended XYZ format:
```
12
Lattice="3.575 0.000 0.000 -1.788 3.096 0.000 0.000 0.000 34.699" Properties=species:S:1:pos:R:3 pbc="T T T"
Tb 0.000 0.000 0.000
Tb 0.000 2.064 14.434
Tb 1.788 1.032 20.265
Tb 0.000 2.064 5.711
Tb 1.788 1.032 28.988
Tb 0.000 0.000 25.960
Tb 0.000 0.000 8.739
Er 0.000 0.000 17.350
Th 0.000 2.064 31.801
Th 1.788 1.032 2.898
Th 0.000 2.064 23.133
Th 1.788 1.032 11.566
```

Summary:
Uncorrected energy: -5.53 eV per atom
Crystal system: trigonal
E_form: 0.278 eV per formula unit
Spin magnetization: 0.0 μB per formula unit

(18)
Crystalline Tb2Er7Th at its relaxed geometry, computed with GGA-PBE.

The structure in extended XYZ format:
```
10
Lattice="5.153 0.000 0.000 0.000 9.566 -0.834 0.000 -5.060 8.161" Properties=species:S:1:pos:R:3 pbc="T T T"
Tb 2.577 5.198 1.853
Tb 2.577 -0.692 5.475
Er 0.000 6.709 0.924
Er 0.000 -2.202 6.404
Er 2.577 -0.763 2.268
Er 2.577 5.269 5.060
Er 2.577 2.368 0.343
Er 2.577 2.139 6.985
Er 2.577 2.253 3.664
Th 0.000 0.000 0.000
```

Summary:
Uncorrected energy: -4.13 eV per atom
Crystal system: orthorhombic
E_form: 7.275 eV per formula unit
Spin magnetization: 0.0 μB per formula unit

(19)
Crystalline TbEr2Th at its relaxed geometry, computed with GGA-PBE.

The structure in extended XYZ format:
```
4
Lattice="-2.312 4.377 -0.394 -2.452 -1.660 -4.050 -3.701 -1.691 2.934" Properties=species:S:1:pos:R:3 pbc="T T T"
Tb -4.233 0.513 -0.754
Th -1.156 2.188 -0.197
Er -1.850 -0.846 1.467
Er -1.226 -0.830 -2.025
```

Summary:
Uncorrected energy: -5.26 eV per atom
Crystal system: tetragonal
E_form: 0.146 eV per formula unit
Spin magnetization: 0.0 μB per formula unit

(20)
Crystalline Tb12Er5Th2 at its relaxed geometry, computed with GGA-PBE.

The structure in extended XYZ format:
```
19
Lattice="5.988 1.050 -0.414 -1.916 8.136 -4.665 -0.614 0.022 12.042" Properties=species:S:1:pos:R:3 pbc="T T T"
Tb 4.711 1.275 2.146
Tb -1.562 5.397 7.147
Tb 1.525 6.098 8.495
Tb -0.988 5.318 2.405
Tb 2.227 6.338 -0.075
Tb 1.348 8.051 2.728
Tb 2.109 1.157 4.235
Tb 4.446 3.891 4.558
Tb 1.231 2.871 7.038
Tb 5.020 3.811 -0.184
Tb 1.933 3.111 -1.531
Tb -1.253 7.934 4.817
Er 1.346 5.532 4.985
Er -0.791 5.857 -1.404
Er -0.307 0.011 6.021
Er 4.249 3.352 8.367
Er 2.112 3.676 1.978
Th 1.878 8.801 6.158
Th 1.579 0.407 0.805
```

Summary:
Uncorrected energy: -4.79 eV per atom
Crystal system: triclinic
E_form: 2.268 eV per formula unit
Spin magnetization: 0.0 μB per formula unit